Material: V2Bi8O17
Method: DFT, PBE+U
State: optimized geometry

a = 4.2093 Å, b = 4.2093 Å, c = 32.1241 Å
α = 84.96°, β = 84.96°, γ = 52.25°
Fractional coordinates of all 27 atoms:
Bi (0.7651, 0.7651, 0.8757)
Bi (0.1938, 0.1938, 0.4095)
Bi (0.3666, 0.3666, 0.0916)
Bi (0.5358, 0.5358, 0.5232)
Bi (0.5959, 0.5959, 0.1926)
Bi (0.1364, 0.1364, 0.6995)
Bi (0.0030, 0.0030, 0.9760)
Bi (0.9640, 0.9640, 0.3085)
O (0.0190, 0.0190, 0.9068)
O (0.7606, 0.7606, 0.6683)
O (0.0947, 0.0947, 0.7749)
O (0.6784, 0.6784, 0.9743)
O (0.7935, 0.7935, 0.5554)
O (0.3779, 0.3779, 0.8434)
O (0.5559, 0.5559, 0.2725)
O (0.1467, 0.1467, 0.4895)
O (0.2083, 0.2083, 0.3404)
O (0.7840, 0.7840, 0.8005)
O (0.4869, 0.4869, 0.5976)
O (0.8695, 0.8695, 0.4070)
O (0.9592, 0.9592, 0.0558)
O (0.2712, 0.2712, 0.1900)
O (0.1765, 0.1765, 0.6228)
O (0.6109, 0.6109, 0.1235)
O (0.3995, 0.3995, 0.7314)
V (0.6986, 0.6986, 0.6101)
V (0.3068, 0.3068, 0.7866)

Summary:
* distance to the lowest polymorph of the same formula: 0.083 eV per atom
* E_tot: -6.0778 eV/atom